The following is a PBE-GGA calculation of Dy2Tm2Ga4Si after structural relaxation, from the Alexandria database.

CIF file:
```
data_Dy2Tm2Ga4Si
_chemical_formula_sum 'Dy4 Tm4 Ga8 Si2'
_space_group_name_H-M_alt 'I 4/m m m'
_space_group_IT_number 139
_space_group_name_Hall '-I 4 2'
_cell_length_a 6.882
_cell_length_b 6.882
_cell_length_c 8.773
_cell_angle_alpha 90.00
_cell_angle_beta 90.00
_cell_angle_gamma 90.00
loop_
_atom_site_label
_atom_site_type_symbol
_atom_site_fract_x
_atom_site_fract_y
_atom_site_fract_z
Dy1 Dy 0.000 0.000 0.196
Tm1 Tm 0.000 0.500 0.250
Ga1 Ga 0.250 0.250 0.000
Si1 Si 0.000 0.000 0.500
```

formation energy (no corrections) = -0.28 eV per atom
calculated volume = 23.09 A^3/atom
density of states at the Fermi level = 0.5746 states/eV/atom

The following is a PBE-GGA calculation of Al2C after structural relaxation, from the Alexandria database.

CIF file:
```
data_Al2C
_chemical_formula_sum 'Al2 C1'
_space_group_name_H-M_alt 'P 6/m m m'
_space_group_IT_number 191
_space_group_name_Hall '-P 6 2'
_cell_length_a 4.3040
_cell_length_b 4.3040
_cell_length_c 2.6809
_cell_angle_alpha 90.00
_cell_angle_beta 90.00
_cell_angle_gamma 120.00
loop_
_atom_site_label
_atom_site_type_symbol
_atom_site_fract_x
_atom_site_fract_y
_atom_site_fract_z
Al1 Al 0.3333 0.6667 0.0000
C1 C 0.0000 0.0000 0.5000
```

calculated volume = 14.34 A^3/atom
density of states at the Fermi level = 0.6833 states/eV/atom
formation energy from the elements = 1.7823 eV/atom

The following is a PBE-GGA calculation of PrYLuZn after structural relaxation, from the Alexandria database.

CIF file:
```
data_PrYLuZn
_chemical_formula_sum 'Pr4 Y4 Lu4 Zn4'
_space_group_name_H-M_alt 'F -4 3 m'
_space_group_IT_number 216
_space_group_name_Hall 'F -4 2 3'
_cell_length_a 7.613
_cell_length_b 7.613
_cell_length_c 7.613
_cell_angle_alpha 90.00
_cell_angle_beta 90.00
_cell_angle_gamma 90.00
loop_
_atom_site_label
_atom_site_type_symbol
_atom_site_fract_x
_atom_site_fract_y
_atom_site_fract_z
Pr1 Pr 0.000 0.000 0.000
Y1 Y 0.000 0.000 0.500
Lu1 Lu 0.250 0.250 0.250
Zn1 Zn 0.250 0.250 0.750
```

calculated volume = 27.58 A^3/atom
density of states at the Fermi level = 1.1168 states/eV/atom
formation energy from the elements = 0.0139 eV/atom

The following is a PBE-GGA calculation of CrSeBr2 after structural relaxation, from the Alexandria database.

CIF file:
```
data_CrSeBr2
_chemical_formula_sum 'Cr3 Se3 Br6'
_space_group_name_H-M_alt 'R -3 m'
_space_group_IT_number 166
_space_group_name_Hall '-R 3 2"'
_cell_length_a 3.0848
_cell_length_b 3.0848
_cell_length_c 36.6446
_cell_angle_alpha 90.00
_cell_angle_beta 90.00
_cell_angle_gamma 120.00
loop_
_atom_site_label
_atom_site_type_symbol
_atom_site_fract_x
_atom_site_fract_y
_atom_site_fract_z
Cr1 Cr 0.0000 0.0000 0.0000
Se1 Se 0.0000 0.0000 0.5000
Br1 Br 0.0000 0.0000 0.0620
```

formation energy (no corrections) = 0.65 eV per atom
calculated volume = 25.17 A^3/atom
polymorph energy (0 for the lowest one) = 1063.6 meV/atom
density of states at the Fermi level = 1.5622 states/eV/atom

The following is a PBE-GGA calculation of Y2Be4Si3Ir after structural relaxation, from the Alexandria database.

CIF file:
```
data_Y2Be4Si3Ir
_chemical_formula_sum 'Y2 Be4 Si3 Ir1'
_space_group_name_H-M_alt 'P -4 m 2'
_space_group_IT_number 115
_cell_length_a 3.803
_cell_length_b 3.803
_cell_length_c 9.940
_cell_angle_alpha 90.00
_cell_angle_beta 90.00
_cell_angle_gamma 90.00
loop_
_space_group_symop_operation_xyz
'x,y,z'
'y,-x,-z'
'-x,-y,z'
'-y,x,-z'
'-x,y,z'
'-y,-x,-z'
'x,-y,z'
'y,x,-z'
loop_
_atom_site_label
_atom_site_type_symbol
_atom_site_fract_x
_atom_site_fract_y
_atom_site_fract_z
Y1 Y 0.000 0.500 0.245
Be1 Be 0.000 0.000 0.000
Be2 Be 0.000 0.500 0.636
Be3 Be 0.500 0.500 0.000
Si1 Si 0.000 0.500 0.868
Si2 Si 0.500 0.500 0.500
Ir1 Ir 0.000 0.000 0.500
```

formation energy (no corrections) = -0.54 eV per atom
calculated volume = 14.38 A^3/atom
density of states at the Fermi level = 0.4283 states/eV/atom

The following is a PBE-GGA calculation of AcHoRh2 after structural relaxation, from the Alexandria database.

CIF file:
```
data_AcHoRh2
_chemical_formula_sum 'Ac3 Ho3 Rh6'
_space_group_name_H-M_alt 'R -3 m'
_space_group_IT_number 166
_space_group_name_Hall '-R 3 2"'
_cell_length_a 4.5049
_cell_length_b 4.5049
_cell_length_c 16.5548
_cell_angle_alpha 90.00
_cell_angle_beta 90.00
_cell_angle_gamma 120.00
loop_
_atom_site_label
_atom_site_type_symbol
_atom_site_fract_x
_atom_site_fract_y
_atom_site_fract_z
Ac1 Ac 0.0000 0.0000 0.0000
Ho1 Ho 0.0000 0.0000 0.5000
Rh1 Rh 0.0000 0.0000 0.2222
```

calculated volume = 24.25 A^3/atom
polymorph energy (0 for the lowest one) = 14.1 meV/atom
density of states at the Fermi level = 0.4814 states/eV/atom
formation energy from the elements = -0.6532 eV/atom

The following is a PBE-GGA calculation of K2Pu2Te2S after structural relaxation, from the Alexandria database.

CIF file:
```
data_K2Pu2Te2S
_chemical_formula_sum 'K4 Pu4 Te4 S2'
_space_group_name_H-M_alt 'I 4/m m m'
_space_group_IT_number 139
_space_group_name_Hall '-I 4 2'
_cell_length_a 5.338
_cell_length_b 5.338
_cell_length_c 17.601
_cell_angle_alpha 90.00
_cell_angle_beta 90.00
_cell_angle_gamma 90.00
loop_
_atom_site_label
_atom_site_type_symbol
_atom_site_fract_x
_atom_site_fract_y
_atom_site_fract_z
K1 K 0.000 0.000 0.181
Pu1 Pu 0.000 0.500 0.000
Te1 Te 0.000 0.000 0.383
S1 S 0.000 0.000 0.000
```

formation energy (no corrections) = -1.11 eV per atom
calculated volume = 35.83 A^3/atom
density of states at the Fermi level = 2.9154 states/eV/atom

The following is a PBE-GGA calculation of CeTmAgS4 after structural relaxation, from the Alexandria database.

CIF file:
```
data_CeTmAgS4
_chemical_formula_sum 'Ce4 Tm4 Ag4 S16'
_space_group_name_H-M_alt 'I m m a'
_space_group_IT_number 74
_space_group_name_Hall '-I 2b 2'
_cell_length_a 7.810
_cell_length_b 8.174
_cell_length_c 11.193
_cell_angle_alpha 90.00
_cell_angle_beta 90.00
_cell_angle_gamma 90.00
loop_
_atom_site_label
_atom_site_type_symbol
_atom_site_fract_x
_atom_site_fract_y
_atom_site_fract_z
Ce1 Ce 0.000 0.000 0.000
Tm1 Tm 0.250 0.250 0.250
Ag1 Ag 0.000 0.250 0.634
S1 S 0.000 0.021 0.243
S2 S 0.235 0.250 0.008
```

formation energy (no corrections) = -1.51 eV per atom
calculated volume = 25.52 A^3/atom

Among the records above, which one has the highest calculated volume? K2Pu2Te2S

What did the fourth record say?
The following is a PBE-GGA calculation of CrSeBr2 after structural relaxation, from the Alexandria database.

CIF file:
```
data_CrSeBr2
_chemical_formula_sum 'Cr3 Se3 Br6'
_space_group_name_H-M_alt 'R -3 m'
_space_group_IT_number 166
_space_group_name_Hall '-R 3 2"'
_cell_length_a 3.0848
_cell_length_b 3.0848
_cell_length_c 36.6446
_cell_angle_alpha 90.00
_cell_angle_beta 90.00
_cell_angle_gamma 120.00
loop_
_atom_site_label
_atom_site_type_symbol
_atom_site_fract_x
_atom_site_fract_y
_atom_site_fract_z
Cr1 Cr 0.0000 0.0000 0.0000
Se1 Se 0.0000 0.0000 0.5000
Br1 Br 0.0000 0.0000 0.0620
```

formation energy (no corrections) = 0.65 eV per atom
calculated volume = 25.17 A^3/atom
polymorph energy (0 for the lowest one) = 1063.6 meV/atom
density of states at the Fermi level = 1.5622 states/eV/atom

Please write out number 1 again, unchanged.
The following is a PBE-GGA calculation of Dy2Tm2Ga4Si after structural relaxation, from the Alexandria database.

CIF file:
```
data_Dy2Tm2Ga4Si
_chemical_formula_sum 'Dy4 Tm4 Ga8 Si2'
_space_group_name_H-M_alt 'I 4/m m m'
_space_group_IT_number 139
_space_group_name_Hall '-I 4 2'
_cell_length_a 6.882
_cell_length_b 6.882
_cell_length_c 8.773
_cell_angle_alpha 90.00
_cell_angle_beta 90.00
_cell_angle_gamma 90.00
loop_
_atom_site_label
_atom_site_type_symbol
_atom_site_fract_x
_atom_site_fract_y
_atom_site_fract_z
Dy1 Dy 0.000 0.000 0.196
Tm1 Tm 0.000 0.500 0.250
Ga1 Ga 0.250 0.250 0.000
Si1 Si 0.000 0.000 0.500
```

formation energy (no corrections) = -0.28 eV per atom
calculated volume = 23.09 A^3/atom
density of states at the Fermi level = 0.5746 states/eV/atom